First-principles (GGA-PBE) data for a relaxed La4TlSn crystal, as listed in Alexandria via LeMat-Bulk.

## Properties
* total magnetization: 0.0 μB per cell
* energy relative to the elements: -245 kJ/mol of formula units

Cell and atoms, written as CIF:
```
data_La4TlSn
_cell_length_a 11.1666
_cell_length_b 4.1812
_cell_length_c 8.8002
_cell_angle_alpha 90.00
_cell_angle_beta 113.15
_cell_angle_gamma 90.00
_symmetry_space_group_name_H-M 'C 1 2/m 1'
_symmetry_Int_Tables_number 12
loop_
_symmetry_equiv_pos_as_xyz
'x,y,z'
'-x,-y,-z'
'-x,y,-z'
'x,-y,z'
'x+1/2,y+1/2,z'
'-x+1/2,-y+1/2,-z'
'-x+1/2,y+1/2,-z'
'x+1/2,-y+1/2,z'
loop_
_atom_site_label
_atom_site_type_symbol
_atom_site_fract_x
_atom_site_fract_y
_atom_site_fract_z
La1 La 0.1533 0.0000 0.3304
La2 La 0.1555 0.0000 0.8233
Tl1 Tl 0.0000 0.5000 0.0000
Sn1 Sn 0.0000 0.5000 0.5000
```